(1)
Li3CuIr, optimized geometry, DFT PBE; density of states at the Fermi level = 0.277 states/eV/atom; formation energy from the elements = 700 meV/atom; ρ = 6.00 Mg/m³; E_tot = -3.040 eV/atom
1.0
4.246 0.000 0.000
0.000 4.246 0.000
0.000 0.000 4.246
Li Cu Ir
3 1 1
direct
0.000 0.000 0.500
0.000 0.500 0.000
0.500 0.000 0.000
0.000 0.000 0.000
0.500 0.500 0.500

(2)
Li2CuIr, optimized geometry, DFT PBE; density of states at the Fermi level = 0.377 states/eV/atom; formation energy from the elements = -56 meV/atom; ρ = 8.35 Mg/m³; E_tot = -4.252 eV/atom
1.0
2.517 0.000 0.000
0.000 4.123 0.000
0.000 0.000 5.167
Li Cu Ir
2 1 1
direct
0.000 0.000 0.237
0.000 0.000 0.763
0.500 0.500 0.500
0.500 0.500 0.000

(3)
Li4CuIr, optimized geometry, DFT PBE; density of states at the Fermi level = 0.419 states/eV/atom; formation energy from the elements = 110 meV/atom; ρ = 6.36 Mg/m³; E_tot = -3.325 eV/atom
1.0
0.000 3.333 3.333
3.333 0.000 3.333
3.333 3.333 0.000
Li Cu Ir
4 1 1
direct
0.376 0.376 0.376
0.376 0.376 0.871
0.376 0.871 0.376
0.871 0.376 0.376
0.000 0.000 0.000
0.750 0.750 0.750

(4)
Li2CuIr, optimized geometry, DFT PBE; density of states at the Fermi level = 0.536 states/eV/atom; formation energy from the elements = -96 meV/atom; ρ = 8.32 Mg/m³; E_tot = -4.292 eV/atom
1.0
1.400 -2.205 0.000
1.400 2.205 0.000
0.000 0.000 8.720
Li Cu Ir
2 1 1
direct
0.000 0.000 0.246
0.000 0.000 0.754
0.500 0.500 0.500
0.500 0.500 0.000

(5)
LiCu4Ir, optimized geometry, DFT PBE; density of states at the Fermi level = 0.298 states/eV/atom; formation energy from the elements = 79 meV/atom; ρ = 9.78 Mg/m³; E_tot = -4.448 eV/atom
1.0
0.000 3.377 3.377
3.377 0.000 3.377
3.377 3.377 0.000
Li Cu Ir
1 4 1
direct
0.000 0.000 0.000
0.125 0.625 0.625
0.625 0.125 0.625
0.625 0.625 0.125
0.625 0.625 0.625
0.250 0.250 0.250

(6)
LiCuIr2, optimized geometry, DFT PBE; density of states at the Fermi level = 0.885 states/eV/atom; formation energy from the elements = 21 meV/atom; ρ = 14.30 Mg/m³; E_tot = -5.912 eV/atom
1.0
-1.913 1.913 3.606
1.913 -1.913 3.606
1.913 1.913 -3.606
Li Cu Ir
1 1 2
direct
0.000 0.000 0.000
0.250 0.750 0.500
0.500 0.500 0.000
0.750 0.250 0.500

(7)
Li2CuIr, optimized geometry, DFT PBE; density of states at the Fermi level = 0.711 states/eV/atom; formation energy from the elements = -55 meV/atom; ρ = 8.33 Mg/m³; E_tot = -4.251 eV/atom
1.0
4.496 -1.274 0.000
4.496 1.274 0.000
-0.636 0.000 4.691
Li Cu Ir
2 1 1
direct
0.000 0.000 0.000
0.237 0.237 0.755
0.492 0.492 0.474
0.751 0.751 0.264

(8)
LiCuIr2, optimized geometry, DFT PBE; density of states at the Fermi level = 0.960 states/eV/atom; formation energy from the elements = -75 meV/atom; ρ = 13.95 Mg/m³; E_tot = -6.008 eV/atom
1.0
4.447 -1.334 0.000
4.447 1.334 0.000
-0.787 0.000 4.565
Li Cu Ir
1 1 2
direct
0.000 0.000 0.000
0.500 0.500 0.500
0.243 0.243 0.753
0.757 0.757 0.247

(9)
LiCuIr, optimized geometry, DFT PBE; density of states at the Fermi level = 0.621 states/eV/atom; formation energy from the elements = -149 meV/atom; ρ = 11.21 Mg/m³; E_tot = -5.106 eV/atom
1.0
2.253 -3.991 0.000
2.253 3.991 0.000
-1.304 0.000 4.329
Li Cu Ir
2 2 2
direct
0.169 0.831 0.000
0.831 0.169 0.000
0.000 0.000 0.500
0.500 0.500 0.000
0.334 0.666 0.500
0.666 0.334 0.500

(10)
Li4Cu2Ir3, optimized geometry, DFT PBE; density of states at the Fermi level = 0.408 states/eV/atom; formation energy from the elements = -82 meV/atom; ρ = 10.36 Mg/m³; E_tot = -4.797 eV/atom
1.0
3.707 -6.407 0.000
3.707 6.407 0.000
0.000 0.000 4.936
Li Cu Ir
8 4 6
direct
0.160 0.168 0.000
0.167 0.501 0.000
0.168 0.160 0.500
0.499 0.833 0.500
0.501 0.167 0.500
0.832 0.840 0.500
0.833 0.499 0.000
0.840 0.832 0.000
0.163 0.489 0.500
0.489 0.163 0.000
0.511 0.837 0.000
0.837 0.511 0.500
0.171 0.829 0.250
0.171 0.829 0.750
0.500 0.500 0.250
0.500 0.500 0.750
0.829 0.171 0.250
0.829 0.171 0.750

(11)
Li2CuIr, optimized geometry, DFT PBE; density of states at the Fermi level = 0.588 states/eV/atom; formation energy from the elements = 52 meV/atom; ρ = 8.29 Mg/m³; E_tot = -4.144 eV/atom
1.0
3.129 0.000 0.000
0.000 3.129 0.000
0.000 0.000 5.521
Li Cu Ir
2 1 1
direct
0.000 0.000 0.000
0.500 0.500 0.267
0.000 0.000 0.530
0.500 0.500 0.749

(12)
LiCuIr2, optimized geometry, DFT PBE; density of states at the Fermi level = 1.551 states/eV/atom; formation energy from the elements = 168 meV/atom; ρ = 13.71 Mg/m³; E_tot = -5.765 eV/atom
1.0
2.617 0.000 0.000
0.000 2.617 0.000
0.000 0.000 8.044
Li Cu Ir
1 1 2
direct
0.000 0.000 0.000
0.000 0.000 0.500
0.500 0.500 0.258
0.500 0.500 0.742